# 1
Density functional theory data (PBE-GGA) for a relaxed structure of Th4Ga2Ag5.

a b c (Å): 7.130 4.356 8.682
angles (deg): 90.00 95.28 90.00
Element x y z (fractional)
Th 0.206 0.000 0.367
Th 0.239 0.000 0.917
Th 0.761 0.000 0.083
Th 0.794 0.000 0.633
Ga 0.080 0.500 0.136
Ga 0.920 0.500 0.864
Ag 0.151 0.500 0.635
Ag 0.459 0.500 0.168
Ag 0.500 0.500 0.500
Ag 0.541 0.500 0.832
Ag 0.849 0.500 0.365

Values from the calculation:
symmetry	P2/m (10)
calculated formation energy	-0.178	eV/atom
total magnetization	0.00	μB per atom



# 2
Density functional theory data (PBE-GGA) for a relaxed structure of Sn2HgSeS3.

a b c (Å): 8.203 8.203 8.203
angles (deg): 58.28 58.28 58.28
Element x y z (fractional)
Sn 0.000 0.000 0.000
Sn 0.000 0.000 0.500
Sn 0.000 0.500 0.000
Sn 0.500 0.000 0.000
Hg 0.392 0.392 0.392
Hg 0.608 0.608 0.608
Se 0.249 0.249 0.249
Se 0.751 0.751 0.751
S 0.218 0.750 0.750
S 0.250 0.250 0.782
S 0.250 0.782 0.250
S 0.750 0.218 0.750
S 0.750 0.750 0.218
S 0.782 0.250 0.250

Values from the calculation:
symmetry	R-3m (166)
raw formation energy	-0.2436	eV per atom
total magnetization	0.00	μB per atom



# 3
Density functional theory data (PBE-GGA) for a relaxed structure of Li2AcPm.

a b c (Å): 3.952 3.952 7.719
angles (deg): 90.00 90.00 90.00
Element x y z (fractional)
Li 0.000 0.000 0.234
Li 0.000 0.000 0.766
Ac 0.500 0.500 0.500
Pm 0.500 0.500 0.000

Values from the calculation:
symmetry	P4/mmm (123)
calculated formation energy	0.137	eV/atom
total magnetization	0.00	μB per atom
excess energy over the best structure of this formula in the dataset	0.0000	eV per atom



# 4
Density functional theory data (PBE-GGA) for a relaxed structure of CsUCu2O6.

a b c (Å): 7.207 7.207 6.837
angles (deg): 100.01 100.01 92.28
Element x y z (fractional)
Cs 0.101 0.899 0.750
Cs 0.899 0.101 0.250
U 0.312 0.688 0.250
U 0.688 0.312 0.750
Cu 0.234 0.378 0.873
Cu 0.378 0.234 0.373
Cu 0.622 0.766 0.627
Cu 0.766 0.622 0.127
O 0.021 0.699 0.236
O 0.272 0.375 0.169
O 0.301 0.979 0.264
O 0.317 0.644 0.956
O 0.356 0.683 0.544
O 0.375 0.272 0.669
O 0.625 0.728 0.331
O 0.644 0.317 0.456
O 0.683 0.356 0.044
O 0.699 0.021 0.736
O 0.728 0.625 0.831
O 0.979 0.301 0.764

Values from the calculation:
symmetry	C2/c (15)
raw formation energy	-1.5850	eV per atom
total magnetization	0.21	μB per atom